The following is a PBE calculation of crystalline CaEr2PuO8 at its relaxed geometry, from Alexandria via LeMat-Bulk.

a = 5.039 Å, b = 7.029 Å, c = 5.047 Å
α = 90.00°, β = 90.98°, γ = 90.00°
Sites, in units of the cell vectors:
Ca: 0.000 0.000 0.000
Er: 0.500 0.245 0.500
Er: 0.500 0.755 0.500
Pu: 0.000 0.500 0.000
O: 0.184 0.290 0.814
O: 0.184 0.710 0.814
O: 0.287 0.500 0.285
O: 0.318 0.000 0.317
O: 0.682 0.000 0.683
O: 0.713 0.500 0.715
O: 0.816 0.290 0.186
O: 0.816 0.710 0.186

Calculated values
Energy ... -98.9 eV/cell
Symmetry ... P2/m


The following is a PBE calculation of crystalline SnIrPd6 at its relaxed geometry, from Alexandria via LeMat-Bulk.

a = 5.328 Å, b = 5.328 Å, c = 5.328 Å
α = 86.77°, β = 86.77°, γ = 86.77°
Sites, in units of the cell vectors:
Sn: 0.000 0.000 0.000
Ir: 0.500 0.500 0.500
Pd: 0.167 0.167 0.544
Pd: 0.167 0.544 0.167
Pd: 0.456 0.833 0.833
Pd: 0.544 0.167 0.167
Pd: 0.833 0.456 0.833
Pd: 0.833 0.833 0.456

Calculated values
DFT formation energy ... 0.38 eV/atom
Symmetry ... R-3m


Please write out number 2 again, unchanged.
The following is a PBE calculation of crystalline SnIrPd6 at its relaxed geometry, from Alexandria via LeMat-Bulk.

a = 5.328 Å, b = 5.328 Å, c = 5.328 Å
α = 86.77°, β = 86.77°, γ = 86.77°
Sites, in units of the cell vectors:
Sn: 0.000 0.000 0.000
Ir: 0.500 0.500 0.500
Pd: 0.167 0.167 0.544
Pd: 0.167 0.544 0.167
Pd: 0.456 0.833 0.833
Pd: 0.544 0.167 0.167
Pd: 0.833 0.456 0.833
Pd: 0.833 0.833 0.456

Calculated values
DFT formation energy ... 0.38 eV/atom
Symmetry ... R-3m